[1]
! LuCoSiIr | OQMD via LeMat-Bulk | PBE | relaxed; values from VASP
&SYSTEM
  ibrav = 0, nat = 4, ntyp = 4
/
ATOMIC_SPECIES
Lu 174.97 Lu.upf
Ir 192.22 Ir.upf
Co 58.93 Co.upf
Si 28.09 Si.upf
CELL_PARAMETERS angstrom
0.0000 3.1693 3.1693
3.1693 0.0000 3.1693
3.1693 3.1693 0.0000
ATOMIC_POSITIONS crystal
Lu 0.2500 0.2500 0.2500
Ir 0.5000 0.5000 0.5000
Co 0.7500 0.7500 0.7500
Si 0.0000 0.0000 0.0000
! DFT total energy (eV/atom): -6.544
! Symmetry: F-43m, No. 216
! Energy relative to the lowest polymorph listed for this composition (meV per atom): 454

[2]
! KRbZnSn | OQMD via LeMat-Bulk | PBE | relaxed; values from VASP
&SYSTEM
  ibrav = 0, nat = 8, ntyp = 4
/
ATOMIC_SPECIES
Rb 85.47 Rb.upf
Sn 118.71 Sn.upf
K 39.10 K.upf
Zn 65.41 Zn.upf
CELL_PARAMETERS angstrom
6.6178 0.0000 0.0000
0.0000 4.1316 5.6188
0.0000 -4.1316 5.6188
ATOMIC_POSITIONS crystal
Rb 0.2500 0.9883 0.6728
Rb 0.7500 0.6728 0.9883
Sn 0.2500 0.7445 0.2495
Sn 0.7500 0.2495 0.7445
K 0.7500 0.0129 0.3242
K 0.2500 0.3242 0.0129
Zn 0.5000 0.5039 0.5039
Zn 0.0000 0.5039 0.5039
! DFT total energy (eV/atom): -2.009
! Symmetry: Ama2, No. 40
! Energy relative to the lowest polymorph listed for this composition (meV per atom): 2

[3]
! Ga5Ir | OQMD via LeMat-Bulk | PBE | relaxed; values from VASP
&SYSTEM
  ibrav = 0, nat = 6, ntyp = 2
/
ATOMIC_SPECIES
Ga 69.72 Ga.upf
Ir 192.22 Ir.upf
CELL_PARAMETERS angstrom
4.9134 0.0000 0.0000
-2.4567 4.2551 0.0000
0.0000 0.0000 4.6680
ATOMIC_POSITIONS crystal
Ga 0.6667 0.3333 0.5000
Ga 0.6831 0.0000 0.0000
Ga 0.0000 0.6831 0.0000
Ga 0.3333 0.6667 0.5000
Ga 0.3169 0.3169 0.0000
Ir 0.0000 0.0000 0.5000
! DFT total energy (eV/atom): -4.073
! Symmetry: P-62m, No. 189

[4]
! HfNiBPd | OQMD via LeMat-Bulk | PBE | relaxed; values from VASP
&SYSTEM
  ibrav = 0, nat = 4, ntyp = 4
/
ATOMIC_SPECIES
Ni 58.69 Ni.upf
Pd 106.42 Pd.upf
B 10.81 B.upf
Hf 178.49 Hf.upf
CELL_PARAMETERS angstrom
0.0000 2.9947 2.9947
2.9947 0.0000 2.9947
2.9947 2.9947 0.0000
ATOMIC_POSITIONS crystal
Ni 0.7500 0.7500 0.7500
Pd 0.2500 0.2500 0.2500
B 0.0000 0.0000 0.0000
Hf 0.5000 0.5000 0.5000
! DFT total energy (eV/atom): -6.824
! Symmetry: F-43m, No. 216
! Energy relative to the lowest polymorph listed for this composition (meV per atom): 139

[5]
! ErAgSeO | OQMD via LeMat-Bulk | PBE | relaxed; values from VASP
&SYSTEM
  ibrav = 0, nat = 16, ntyp = 4
/
ATOMIC_SPECIES
Ag 107.87 Ag.upf
Se 78.96 Se.upf
Er 167.26 Er.upf
O 16.00 O.upf
CELL_PARAMETERS angstrom
5.6912 0.0000 0.0028
0.0000 5.6891 0.0000
-0.4087 0.0000 11.1005
ATOMIC_POSITIONS crystal
Ag 0.9988 0.3410 0.2867
Ag 0.3117 0.0960 0.5038
Ag 0.6883 0.5960 0.4962
Ag 0.0012 0.8410 0.7133
Se 0.3033 0.0394 0.2824
Se 0.6925 0.6429 0.2744
Se 0.6967 0.5394 0.7176
Se 0.3075 0.1429 0.7256
Er 0.5049 0.3209 0.0912
Er 0.9944 0.3208 0.9081
Er 0.0056 0.8208 0.0919
Er 0.4951 0.8209 0.9088
O 0.7522 0.5690 0.9989
O 0.2478 0.0690 0.0011
O 0.2503 0.5700 0.9997
O 0.7497 0.0700 0.0003
! DFT total energy (eV/atom): -5.849
! Symmetry: P2_1, No. 4

[6]
! Dy3Mg3Tl2Cd | OQMD via LeMat-Bulk | PBE | relaxed; values from VASP
&SYSTEM
  ibrav = 0, nat = 9, ntyp = 4
/
ATOMIC_SPECIES
Dy 162.50 Dy.upf
Tl 204.38 Tl.upf
Mg 24.30 Mg.upf
Cd 112.41 Cd.upf
CELL_PARAMETERS angstrom
7.5711 0.0000 0.0000
-3.7856 6.5568 0.0000
0.0000 0.0000 4.5849
ATOMIC_POSITIONS crystal
Dy 0.0000 0.5736 0.0000
Dy 0.5736 0.0000 0.0000
Dy 0.4264 0.4264 0.0000
Tl 0.6667 0.3333 0.5000
Tl 0.3333 0.6667 0.5000
Mg 0.0000 0.2402 0.5000
Mg 0.7598 0.7598 0.5000
Mg 0.2402 0.0000 0.5000
Cd 0.0000 0.0000 0.0000
! DFT total energy (eV/atom): -2.998
! Symmetry: P-62m, No. 189

[7]
! BiPt2W | OQMD via LeMat-Bulk | PBE | relaxed; values from VASP
&SYSTEM
  ibrav = 0, nat = 4, ntyp = 3
/
ATOMIC_SPECIES
Pt 195.08 Pt.upf
Bi 208.98 Bi.upf
W 183.84 W.upf
CELL_PARAMETERS angstrom
0.0000 3.3095 3.3095
3.3095 0.0000 3.3095
3.3095 3.3095 0.0000
ATOMIC_POSITIONS crystal
Pt 0.7500 0.7500 0.7500
Pt 0.0000 0.0000 0.0000
Bi 0.5000 0.5000 0.5000
W 0.2500 0.2500 0.2500
! DFT total energy (eV/atom): -6.837
! Symmetry: F-43m, No. 216

[8]
! DyTmHg2Au4 | OQMD via LeMat-Bulk | PBE | relaxed; values from VASP
&SYSTEM
  ibrav = 0, nat = 8, ntyp = 4
/
ATOMIC_SPECIES
Au 196.97 Au.upf
Dy 162.50 Dy.upf
Tm 168.93 Tm.upf
Hg 200.59 Hg.upf
CELL_PARAMETERS angstrom
4.9065 0.0000 0.0000
0.0000 4.9065 0.0000
0.0000 0.0000 6.9464
ATOMIC_POSITIONS crystal
Au 0.5000 0.0000 0.2543
Au 0.0000 0.5000 0.7457
Au 0.0000 0.5000 0.2543
Au 0.5000 0.0000 0.7457
Dy 0.0000 0.0000 0.0000
Tm 0.5000 0.5000 0.5000
Hg 0.0000 0.0000 0.5000
Hg 0.5000 0.5000 0.0000
! DFT total energy (eV/atom): -3.437
! Energy of formation (eV/atom): -0.595
! Symmetry: P4/mmm, No. 123

[9]
! Nd5Sn4 | OQMD via LeMat-Bulk | PBE | relaxed; values from VASP
&SYSTEM
  ibrav = 0, nat = 36, ntyp = 2
/
ATOMIC_SPECIES
Sn 118.71 Sn.upf
Nd 144.24 Nd.upf
CELL_PARAMETERS angstrom
-6.6412 3.8569 -3.1323
-1.8069 -11.7449 -10.6307
-4.9684 -4.1477 5.4269
ATOMIC_POSITIONS crystal
Sn 0.7087 0.0416 0.5363
Sn 0.6771 0.7500 0.6425
Sn 0.3229 0.2500 0.3575
Sn 0.5676 0.2500 0.8859
Sn 0.8229 0.2500 0.1425
Sn 0.2087 0.4584 0.9637
Sn 0.9324 0.7500 0.3859
Sn 0.2913 0.9584 0.4637
Sn 0.7913 0.9584 0.0363
Sn 0.7087 0.4584 0.5363
Sn 0.0676 0.2500 0.6141
Sn 0.2913 0.5416 0.4637
Sn 0.1771 0.7500 0.8575
Sn 0.7913 0.5416 0.0363
Sn 0.2087 0.0416 0.9637
Sn 0.4324 0.7500 0.1141
Nd 0.4828 0.5988 0.8195
Nd 0.8685 0.1205 0.8370
Nd 0.8009 0.7500 0.0021
Nd 0.3685 0.1205 0.6630
Nd 0.9828 0.5988 0.6805
Nd 0.3009 0.7500 0.4979
Nd 0.6315 0.6205 0.3370
Nd 0.1315 0.6205 0.1630
Nd 0.6315 0.8795 0.3370
Nd 0.4828 0.9012 0.8195
Nd 0.5172 0.4012 0.1805
Nd 0.8685 0.3795 0.8370
Nd 0.1315 0.8795 0.1630
Nd 0.1991 0.2500 0.9979
Nd 0.9828 0.9012 0.6805
Nd 0.0172 0.0988 0.3195
Nd 0.0172 0.4012 0.3195
Nd 0.6991 0.2500 0.5021
Nd 0.3685 0.3795 0.6630
Nd 0.5172 0.0988 0.1805
! DFT total energy (eV/atom): -5.186
! Symmetry: Pnma, No. 62
! Energy relative to the lowest polymorph listed for this composition (meV per atom): 0

[10]
! ZnFeNiAg | OQMD via LeMat-Bulk | PBE | relaxed; values from VASP
&SYSTEM
  ibrav = 0, nat = 4, ntyp = 4
/
ATOMIC_SPECIES
Ni 58.69 Ni.upf
Zn 65.41 Zn.upf
Ag 107.87 Ag.upf
Fe 55.84 Fe.upf
CELL_PARAMETERS angstrom
0.0000 3.0039 3.0039
3.0039 0.0000 3.0039
3.0039 3.0039 0.0000
ATOMIC_POSITIONS crystal
Ni 0.2500 0.2500 0.2500
Zn 0.0000 0.0000 0.0000
Ag 0.5000 0.5000 0.5000
Fe 0.7500 0.7500 0.7500
! DFT total energy (eV/atom): -4.289
! Energy of formation (eV/atom): 0.203
! Symmetry: F-43m, No. 216
! Energy relative to the lowest polymorph listed for this composition (meV per atom): 57

[11]
! MgGaCoAu | OQMD via LeMat-Bulk | PBE | relaxed; values from VASP
&SYSTEM
  ibrav = 0, nat = 4, ntyp = 4
/
ATOMIC_SPECIES
Mg 24.30 Mg.upf
Ga 69.72 Ga.upf
Au 196.97 Au.upf
Co 58.93 Co.upf
CELL_PARAMETERS angstrom
0.0000 3.1074 3.1074
3.1074 0.0000 3.1074
3.1074 3.1074 0.0000
ATOMIC_POSITIONS crystal
Mg 0.5000 0.5000 0.5000
Ga 0.0000 0.0000 0.0000
Au 0.2500 0.2500 0.2500
Co 0.7500 0.7500 0.7500
! DFT total energy (eV/atom): -3.913
! Symmetry: F-43m, No. 216
! Energy relative to the lowest polymorph listed for this composition (meV per atom): 0

[12]
! NaCdBi | OQMD via LeMat-Bulk | PBE | relaxed; values from VASP
&SYSTEM
  ibrav = 0, nat = 12, ntyp = 3
/
ATOMIC_SPECIES
Na 22.99 Na.upf
Bi 208.98 Bi.upf
Cd 112.41 Cd.upf
CELL_PARAMETERS angstrom
-6.7493 -4.3488 1.2812
0.6772 -2.2936 -4.2178
4.7954 -6.2192 4.1518
ATOMIC_POSITIONS crystal
Na 0.9780 0.2500 0.6826
Na 0.0220 0.7500 0.3174
Na 0.5220 0.7500 0.1826
Na 0.4780 0.2500 0.8174
Bi 0.2335 0.2500 0.1107
Bi 0.7665 0.7500 0.8893
Bi 0.7335 0.2500 0.3893
Bi 0.2665 0.7500 0.6107
Cd 0.6425 0.7500 0.5704
Cd 0.3575 0.2500 0.4296
Cd 0.8575 0.2500 0.0704
Cd 0.1425 0.7500 0.9296
! DFT total energy (eV/atom): -2.343
! Symmetry: Pnma, No. 62

[13]
! HfNiBi | OQMD via LeMat-Bulk | PBE | relaxed; values from VASP
&SYSTEM
  ibrav = 0, nat = 12, ntyp = 3
/
ATOMIC_SPECIES
Hf 178.49 Hf.upf
Ni 58.69 Ni.upf
Bi 208.98 Bi.upf
CELL_PARAMETERS angstrom
6.8080 0.0000 0.0000
0.0000 3.9665 0.0000
0.0000 0.0000 8.6531
ATOMIC_POSITIONS crystal
Hf 0.4995 0.7500 0.3452
Hf 0.5005 0.2500 0.6548
Hf 0.0005 0.2500 0.8452
Hf 0.9995 0.7500 0.1548
Ni 0.2383 0.2500 0.3987
Ni 0.7617 0.7500 0.6013
Ni 0.7383 0.2500 0.1013
Ni 0.2617 0.7500 0.8987
Bi 0.8337 0.2500 0.3993
Bi 0.1663 0.7500 0.6007
Bi 0.6663 0.7500 0.8993
Bi 0.3337 0.2500 0.1007
! DFT total energy (eV/atom): -6.711
! Symmetry: Pnma, No. 62

[14]
! Nb2In2NiPt | OQMD via LeMat-Bulk | PBE | relaxed; values from VASP
&SYSTEM
  ibrav = 0, nat = 24, ntyp = 4
/
ATOMIC_SPECIES
Ni 58.69 Ni.upf
In 114.82 In.upf
Nb 92.91 Nb.upf
Pt 195.08 Pt.upf
CELL_PARAMETERS angstrom
-2.2594 0.5116 -7.1755
-0.3838 -4.3200 -0.1872
-12.7445 0.8440 6.6502
ATOMIC_POSITIONS crystal
Ni 0.4999 0.0000 0.4999
Ni 0.0000 0.5000 0.5012
Ni 0.0000 0.0000 0.9978
Ni 0.2464 0.0000 0.7473
In 0.0617 0.0000 0.1809
In 0.5622 0.5000 0.1872
In 0.5483 0.0000 0.6820
In 0.3150 0.5000 0.4475
In 0.8248 0.5000 0.9389
In 0.8160 0.0000 0.4469
In 0.0711 0.5000 0.6840
In 0.2999 0.0000 0.9314
Nb 0.6868 0.5000 0.5598
Nb 0.9408 0.5000 0.3197
Nb 0.4308 0.5000 0.8082
Nb 0.4396 0.0000 0.3195
Nb 0.1853 0.0000 0.5623
Nb 0.9415 0.0000 0.8111
Nb 0.1836 0.5000 0.0602
Nb 0.6927 0.0000 0.0608
Pt 0.7539 0.0000 0.2545
Pt 0.4997 0.5000 0.9967
Pt 0.2501 0.5000 0.2544
Pt 0.7501 0.5000 0.7477
! DFT total energy (eV/atom): -6.453
! Symmetry: Pm, No. 6

[15]
! LaPmSO2 | OQMD via LeMat-Bulk | PBE | relaxed; values from VASP
&SYSTEM
  ibrav = 0, nat = 5, ntyp = 4
/
ATOMIC_SPECIES
O 16.00 O.upf
S 32.06 S.upf
La 138.91 La.upf
Pm 145.00 Pm.upf
CELL_PARAMETERS angstrom
-1.1662 -0.1392 3.8015
3.6811 -1.1363 -0.9945
2.2190 6.3882 0.9147
ATOMIC_POSITIONS crystal
O 0.6667 0.3333 0.3748
O 0.0000 0.0000 0.6334
S 0.3333 0.6667 0.9944
La 0.0000 0.0000 0.2786
Pm 0.6667 0.3333 0.7188
! DFT total energy (eV/atom): -7.883
! Symmetry: P3m1, No. 156

[16]
! NbInFeIr | OQMD via LeMat-Bulk | PBE | relaxed; values from VASP
&SYSTEM
  ibrav = 0, nat = 4, ntyp = 4
/
ATOMIC_SPECIES
In 114.82 In.upf
Ir 192.22 Ir.upf
Fe 55.84 Fe.upf
Nb 92.91 Nb.upf
CELL_PARAMETERS angstrom
0.0000 3.2038 3.2038
3.2038 0.0000 3.2038
3.2038 3.2038 0.0000
ATOMIC_POSITIONS crystal
In 0.0000 0.0000 0.0000
Ir 0.5000 0.5000 0.5000
Fe 0.7500 0.7500 0.7500
Nb 0.2500 0.2500 0.2500
! DFT total energy (eV/atom): -7.368
! Symmetry: F-43m, No. 216
! Energy relative to the lowest polymorph listed for this composition (meV per atom): 259

[17]
! TbGdMg2Ag4 | OQMD via LeMat-Bulk | PBE | relaxed; values from VASP
&SYSTEM
  ibrav = 0, nat = 8, ntyp = 4
/
ATOMIC_SPECIES
Ag 107.87 Ag.upf
Mg 24.30 Mg.upf
Gd 157.25 Gd.upf
Tb 158.93 Tb.upf
CELL_PARAMETERS angstrom
4.9300 0.0000 0.0000
0.0000 4.9300 0.0000
0.0000 0.0000 6.9766
ATOMIC_POSITIONS crystal
Ag 0.0000 0.5000 0.2497
Ag 0.0000 0.5000 0.7503
Ag 0.5000 0.0000 0.7503
Ag 0.5000 0.0000 0.2497
Mg 0.0000 0.0000 0.0000
Mg 0.5000 0.5000 0.5000
Gd 0.0000 0.0000 0.5000
Tb 0.5000 0.5000 0.0000
! DFT total energy (eV/atom): -3.267
! Symmetry: P4/mmm, No. 123

[18]
! YMo | OQMD via LeMat-Bulk | PBE | relaxed; values from VASP
&SYSTEM
  ibrav = 0, nat = 2, ntyp = 2
/
ATOMIC_SPECIES
Y 88.91 Y.upf
Mo 95.94 Mo.upf
CELL_PARAMETERS angstrom
-2.7589 0.2472 1.4309
0.3880 -2.0808 -2.2889
1.4622 -3.4920 3.4224
ATOMIC_POSITIONS crystal
Y 0.3333 0.6667 0.2500
Mo 0.6667 0.3333 0.7500
! DFT total energy (eV/atom): -7.903
! Energy of formation (eV/atom): 0.753
! Symmetry: P-6m2, No. 187
! Energy relative to the lowest polymorph listed for this composition (meV per atom): 0

[19]
! Gd2Si4PdPt | OQMD via LeMat-Bulk | PBE | relaxed; values from VASP
&SYSTEM
  ibrav = 0, nat = 8, ntyp = 4
/
ATOMIC_SPECIES
Si 28.09 Si.upf
Gd 157.25 Gd.upf
Pt 195.08 Pt.upf
Pd 106.42 Pd.upf
CELL_PARAMETERS angstrom
4.1904 0.0000 0.0000
0.0000 2.0831 8.4173
0.0000 -2.0831 8.4173
ATOMIC_POSITIONS crystal
Si 0.0000 0.4661 0.4661
Si 0.0000 0.7499 0.7499
Si 0.5000 0.2503 0.2503
Si 0.5000 0.5344 0.5344
Gd 0.5000 0.8964 0.8964
Gd 0.0000 0.1023 0.1023
Pt 0.5000 0.6761 0.6761
Pd 0.0000 0.3245 0.3245
! DFT total energy (eV/atom): -6.188
! Symmetry: Amm2, No. 38

[20]
! LaScBeNi | OQMD via LeMat-Bulk | PBE | relaxed; values from VASP
&SYSTEM
  ibrav = 0, nat = 4, ntyp = 4
/
ATOMIC_SPECIES
Be 9.01 Be.upf
Sc 44.96 Sc.upf
La 138.91 La.upf
Ni 58.69 Ni.upf
CELL_PARAMETERS angstrom
0.0000 3.2703 3.2703
3.2703 0.0000 3.2703
3.2703 3.2703 0.0000
ATOMIC_POSITIONS crystal
Be 0.7500 0.7500 0.7500
Sc 0.2500 0.2500 0.2500
La 0.0000 0.0000 0.0000
Ni 0.5000 0.5000 0.5000
! DFT total energy (eV/atom): -5.014
! Symmetry: F-43m, No. 216
! Energy relative to the lowest polymorph listed for this composition (meV per atom): 159